1.
Density functional theory data (PBE-GGA) for a relaxed structure of CaZn2Pt.

Cell: 4.426 4.426 5.596 Å, 66.47 66.47 60.07°
Element x y z (fractional)
1 Ca 0.507 0.507 0.479
2 Zn 0.979 0.979 0.062
3 Pt 0.311 0.311 0.067
4 Zn 0.703 0.703 0.892

- space group = Cm
- formation energy (eV/atom) = -0.563
- VASP energy (eV per atom) = -3.21
- spin magnetization (μB/f.u.) = 0.00
- N(E_F) (states/eV/atom) = 0.577

2.
Density functional theory data (PBE-GGA) for a relaxed structure of Ca3Zn4Pt4.

Cell: 4.202 7.262 8.208 Å, 116.25 104.83 90.00°
Element x y z (fractional)
1 Zn 0.327 0.521 0.655
2 Ca 0.876 0.876 0.753
3 Zn 0.327 0.134 0.655
4 Ca 0.000 0.500 0.000
5 Ca 0.124 0.124 0.247
6 Pt 0.780 0.280 0.559
7 Zn 0.673 0.866 0.345
8 Pt 0.220 0.720 0.441
9 Zn 0.673 0.479 0.345
10 Pt 0.500 0.189 0.000
11 Pt 0.500 0.811 0.000

- space group = Immm
- formation energy (eV/atom) = -0.744
- VASP energy (eV per atom) = -3.95
- spin magnetization (μB/f.u.) = 0.00
- N(E_F) (states/eV/atom) = 0.381
- energy above the lowest structure with this stoichiometry (meV/atom) = 0

3.
Density functional theory data (PBE-GGA) for a relaxed structure of CaZn4Pt2.

Cell: 4.258 7.604 7.604 Å, 90.00 90.00 90.00°
Element x y z (fractional)
1 Pt 0.500 0.278 0.278
2 Zn 0.000 0.096 0.351
3 Zn 0.500 0.851 0.404
4 Zn 0.000 0.649 0.904
5 Zn 0.500 0.404 0.851
6 Zn 0.000 0.904 0.649
7 Pt 0.500 0.722 0.722
8 Zn 0.000 0.351 0.096
9 Pt 0.000 0.222 0.778
10 Zn 0.500 0.596 0.149
11 Zn 0.500 0.149 0.596
12 Pt 0.000 0.778 0.222
13 Ca 0.500 0.000 0.000
14 Ca 0.000 0.500 0.500

- space group = P4_2/mnm
- formation energy (eV/atom) = -0.591
- VASP energy (eV per atom) = -3.33
- spin magnetization (μB/f.u.) = 0.00
- N(E_F) (states/eV/atom) = 0.433
- energy above the lowest structure with this stoichiometry (meV/atom) = 0

4.
Density functional theory data (PBE-GGA) for a relaxed structure of CaZnPt.

Cell: 4.367 7.407 7.630 Å, 90.00 90.00 90.00°
Element x y z (fractional)
1 Pt 0.500 0.707 0.979
2 Zn 0.000 0.699 0.156
3 Ca 0.000 0.000 0.866
4 Zn 0.500 0.801 0.656
5 Pt 0.000 0.207 0.479
6 Pt 0.500 0.293 0.979
7 Zn 0.500 0.199 0.656
8 Ca 0.500 0.500 0.366
9 Ca 0.500 0.000 0.274
10 Ca 0.000 0.500 0.774
11 Zn 0.000 0.301 0.156
12 Pt 0.000 0.793 0.479

- space group = Imm2
- formation energy (eV/atom) = -0.731
- VASP energy (eV per atom) = -3.84
- spin magnetization (μB/f.u.) = 0.00
- N(E_F) (states/eV/atom) = 0.410

5.
Density functional theory data (PBE-GGA) for a relaxed structure of CaZnPt.

Cell: 7.138 4.270 10.412 Å, 90.00 128.50 90.00°
Element x y z (fractional)
1 Ca 0.814 0.000 0.061
2 Ca 0.814 0.500 0.561
3 Zn 0.414 0.500 0.830
4 Zn 0.586 0.000 0.670
5 Pt 0.203 0.000 0.658
6 Pt 0.797 0.000 0.342
7 Ca 0.186 0.500 0.439
8 Zn 0.586 0.500 0.170
9 Pt 0.203 0.500 0.158
10 Ca 0.186 0.000 0.939
11 Zn 0.414 0.000 0.330
12 Pt 0.797 0.500 0.842

- space group = C2/m
- formation energy (eV/atom) = -0.739
- VASP energy (eV per atom) = -3.84
- spin magnetization (μB/f.u.) = 0.00
- N(E_F) (states/eV/atom) = 0.436

6.
Density functional theory data (PBE-GGA) for a relaxed structure of CaZn3Pt2.

Cell: 5.608 6.313 6.313 Å, 96.63 90.00 90.00°
Element x y z (fractional)
1 Pt 0.500 0.769 0.231
2 Zn 0.250 0.914 0.556
3 Ca 0.750 0.647 0.647
4 Zn 0.250 0.971 0.971
5 Ca 0.250 0.353 0.353
6 Pt 0.000 0.231 0.769
7 Zn 0.750 0.086 0.444
8 Zn 0.750 0.029 0.029
9 Pt 0.500 0.231 0.769
10 Pt 0.000 0.769 0.231
11 Zn 0.250 0.556 0.914
12 Zn 0.750 0.444 0.086

- space group = Cmcm
- formation energy (eV/atom) = -0.619
- VASP energy (eV per atom) = -3.60
- spin magnetization (μB/f.u.) = 0.00
- N(E_F) (states/eV/atom) = 0.250

7.
Density functional theory data (PBE-GGA) for a relaxed structure of CaZn2Pt2.

Cell: 7.619 7.619 2.919 Å, 90.00 90.00 90.00°
Element x y z (fractional)
1 Zn 0.880 0.620 0.000
2 Pt 0.677 0.823 0.500
3 Pt 0.823 0.323 0.500
4 Zn 0.380 0.880 0.000
5 Ca 0.500 0.500 0.000
6 Pt 0.323 0.177 0.500
7 Zn 0.620 0.120 0.000
8 Ca 0.000 0.000 0.000
9 Pt 0.177 0.677 0.500
10 Zn 0.120 0.380 0.000

- space group = P4/mbm
- formation energy (eV/atom) = -0.680
- VASP energy (eV per atom) = -4.01
- spin magnetization (μB/f.u.) = 0.00
- N(E_F) (states/eV/atom) = 0.309
- energy above the lowest structure with this stoichiometry (meV/atom) = 23

8.
Density functional theory data (PBE-GGA) for a relaxed structure of CaZrPt.

Cell: 4.702 4.702 7.017 Å, 90.00 90.00 90.00°
Element x y z (fractional)
1 Zr 0.500 0.500 0.500
2 Zr 0.000 0.000 0.500
3 Pt 0.500 0.000 0.690
4 Pt 0.000 0.500 0.310
5 Ca 0.500 0.000 0.127
6 Ca 0.000 0.500 0.873

- space group = P4/nmm
- formation energy (eV/atom) = -0.749
- VASP energy (eV per atom) = -6.28
- spin magnetization (μB/f.u.) = 0.00
- N(E_F) (states/eV/atom) = 0.879
- energy above the lowest structure with this stoichiometry (meV/atom) = 0

Among the records above, which one has the highest formation energy?
CaZn2Pt